1.
# Na2CdOs | the Alexandria database | GGA-PBE | optimized geometry
data_Na2CdOs
_cell_length_a 8.182
_cell_length_b 8.182
_cell_length_c 5.489
_cell_angle_alpha 90.00
_cell_angle_beta 90.00
_cell_angle_gamma 90.00
_space_group_name_H-M_alt 'I -4 2 d'
_space_group_IT_number 122
_space_group_name_Hall 'I -4 2bw'
loop_
_atom_site_label
_atom_site_type_symbol
_atom_site_fract_x
_atom_site_fract_y
_atom_site_fract_z
Na1 Na 0.245 0.250 0.125
Cd1 Cd 0.000 0.000 0.500
Os1 Os 0.000 0.000 0.000
# total magnetic moment	6.68	μB per cell
# formation enthalpy at 0 K	4.3	eV per formula unit
# crystal system	tetragonal

=====

2.
# NaCd2Os2 | the Alexandria database | GGA-PBE | optimized geometry
data_NaCd2Os2
_cell_length_a 3.676
_cell_length_b 3.676
_cell_length_c 14.714
_cell_angle_alpha 90.00
_cell_angle_beta 90.00
_cell_angle_gamma 90.00
_space_group_name_H-M_alt 'I 4/m m m'
_space_group_IT_number 139
_space_group_name_Hall '-I 4 2'
loop_
_atom_site_label
_atom_site_type_symbol
_atom_site_fract_x
_atom_site_fract_y
_atom_site_fract_z
Na1 Na 0.000 0.000 0.000
Cd1 Cd 0.000 0.000 0.399
Os1 Os 0.000 0.500 0.250
# total magnetic moment	0.00	μB per cell
# formation enthalpy at 0 K	3.1	eV per formula unit
# distance to the lowest polymorph of the same formula	7	meV per atom
# crystal system	tetragonal

=====

3.
# NaCd2Os2 | the Alexandria database | GGA-PBE | optimized geometry
data_NaCd2Os2
_cell_length_a 4.992
_cell_length_b 4.992
_cell_length_c 8.977
_cell_angle_alpha 90.00
_cell_angle_beta 90.00
_cell_angle_gamma 90.00
_space_group_name_H-M_alt 'I 4/m m m'
_space_group_IT_number 139
_space_group_name_Hall '-I 4 2'
loop_
_atom_site_label
_atom_site_type_symbol
_atom_site_fract_x
_atom_site_fract_y
_atom_site_fract_z
Na1 Na 0.000 0.000 0.000
Cd1 Cd 0.000 0.500 0.250
Os1 Os 0.000 0.000 0.375
# total magnetic moment	0.00	μB per cell
# formation enthalpy at 0 K	4.4	eV per formula unit
# distance to the lowest polymorph of the same formula	260	meV per atom
# crystal system	tetragonal